VASP calculation (PBE) on crystalline Tb2Er8Pu at its relaxed geometry.

Cell lengths 5.4520, 7.8041, 9.3253 Å; angles 114.74, 107.00, 90.00 degrees
With the nearest neighbours (Å) after each atom.
Fractional positions:
Er 0.6348 0.4212 0.2696  1 Pu 3.11, 3 Er 3.33-3.48, 2 Tb 3.35
Er 0.0000 0.2830 0.0000  7 Er 3.39-3.48, 2 Pu 3.51, 2 Tb 3.60
Er 0.8333 0.8333 0.6666  8 Er 3.47-3.59, 2 Tb 3.48, 2 Pu 3.82
Er 0.0000 0.7170 0.0000  7 Er 3.39-3.48, 2 Pu 3.51, 2 Tb 3.60
Er 0.3652 0.5788 0.7304  1 Pu 3.11, 3 Er 3.33-3.48, 2 Tb 3.35
Er 0.6348 0.8484 0.2696  1 Pu 3.11, 3 Er 3.33-3.48, 2 Tb 3.35
Er 0.3652 0.1516 0.7304  1 Pu 3.11, 3 Er 3.33-3.48, 2 Tb 3.35
Er 0.1667 0.1667 0.3334  8 Er 3.47-3.59, 2 Tb 3.48, 2 Pu 3.82
Tb 0.8018 0.3018 0.6036  10 Er 3.35-3.60
Tb 0.1982 0.6982 0.3964  10 Er 3.35-3.60
Pu 0.5000 0.0000 0.0000  4 Er 3.11

Properties
Energy above the most stable polymorph in this dataset ... 0.0 meV/atom
Energy ... -0.1962 hartree per atom
DFT formation energy ... 0.1246 eV/atom